Density functional theory data (PBE+U) for an optimized crystal structure of Li4CoTeO6.

a = 5.2571 Å, b = 9.0339 Å, c = 5.2167 Å
α = 90.00°, β = 110.45°, γ = 90.00°
With the nearest neighbours (Å) after each atom.
Space group C2 (No. 5)
Symmetry-distinct sites (fractional):
1 Li 0.0000 0.0000 0.0000 (multiplicity 2)  6 O 2.12-2.35
2 Li 0.0000 0.1632 0.5000 (multiplicity 2)  6 O 2.14-2.21
3 Li 0.0000 0.3266 0.0000 (multiplicity 2)  6 O 2.14-2.25
4 Li 0.0000 0.6650 0.0000 (multiplicity 2)  6 O 2.11-2.27
5 Co 0.0000 0.8312 0.5000 (multiplicity 2)  6 O 2.10-2.15
6 Te 0.0000 0.4972 0.5000 (multiplicity 2)  6 O 1.95-1.97
7 O 0.2249 0.6525 0.7362 (multiplicity 4)  1 Te 1.97, 2 Li 2.11-2.12, 1 Co 2.12
8 O 0.2292 0.4942 0.2752 (multiplicity 4)  1 Te 1.95, 1 Co 2.10, 3 Li 2.14-2.17
9 O 0.2358 0.3448 0.7333 (multiplicity 4)  1 Te 1.96, 3 Li 2.12-2.17, 1 Co 2.15

Properties
Density = 4.4 g/cm3
VASP energy = -131.0 eV/cell
DOS(E_F) = 0.00 states/eV per atom
Total magnetic moment = 6.11 μB per cell